Entry 1:
La2In2Sn3 | PBE | relaxed

Lattice parameters (Å, degrees): 8.2439 8.2439 8.2439 109.47 109.47 109.47
Closest atoms and distances in Å follow each position.
Positions (direct):
1 In 0.1311 0.6311 0.6311  3 Sn 3.11, 1 La 3.20
2 In 0.3689 0.5000 0.0000  3 Sn 3.11, 1 La 3.20
3 In 0.0000 0.0000 0.8689  3 Sn 3.11, 1 La 3.20
4 In 0.5000 0.8689 0.5000  3 Sn 3.11, 1 La 3.20
5 Sn 0.7500 0.5092 0.2592  2 In 3.11, 4 La 3.30-3.31, 4 Sn 3.43
6 Sn 0.7408 0.7500 0.9908  2 In 3.11, 4 La 3.30-3.31, 4 Sn 3.43
7 Sn 0.4908 0.2408 0.7500  2 In 3.11, 4 La 3.30-3.31, 4 Sn 3.43
8 Sn 0.0092 0.2592 0.2500  2 In 3.11, 4 La 3.30-3.31, 4 Sn 3.43
9 Sn 0.7592 0.2500 0.5092  2 In 3.11, 4 La 3.30-3.31, 4 Sn 3.43
10 Sn 0.2500 0.9908 0.2408  2 In 3.11, 4 La 3.30-3.31, 4 Sn 3.43
11 La 0.0000 0.0000 0.4811  1 In 3.20, 6 Sn 3.30-3.31
12 La 0.5000 0.4811 0.5000  1 In 3.20, 6 Sn 3.30-3.31
13 La 0.9811 0.5000 0.0000  1 In 3.20, 6 Sn 3.30-3.31
14 La 0.5189 0.0189 0.0189  1 In 3.20, 6 Sn 3.30-3.31

## Properties
density = 6.6 g/cm³
raw total energy = -0.160 hartree per atom
space-group type = I2_13
ΔH_f (0 K) = -0.4408 eV per atom

Entry 2:
Te2Ru | PBE | relaxed

Lattice parameters (Å, degrees): 6.4624 6.4624 6.4624 90.00 90.00 90.00
Closest atoms and distances in Å follow each position.
Positions (direct):
1 Te 0.6276 0.6276 0.6276  3 Ru 2.67, 1 Te 2.86
2 Te 0.6276 0.8724 0.1276  3 Ru 2.67, 1 Te 2.86
3 Te 0.1276 0.8724 0.3724  3 Ru 2.67, 1 Te 2.86
4 Te 0.1276 0.6276 0.8724  3 Ru 2.67, 1 Te 2.86
5 Te 0.3724 0.3724 0.3724  3 Ru 2.67, 1 Te 2.86
6 Te 0.3724 0.1276 0.8724  3 Ru 2.67, 1 Te 2.86
7 Te 0.8724 0.1276 0.6276  3 Ru 2.67, 1 Te 2.86
8 Te 0.8724 0.3724 0.1276  3 Ru 2.67, 1 Te 2.86
9 Ru 0.5000 0.5000 0.0000  6 Te 2.67
10 Ru 0.5000 0.0000 0.5000  6 Te 2.67
11 Ru 0.0000 0.5000 0.5000  6 Te 2.67
12 Ru 0.0000 0.0000 0.0000  6 Te 2.67

## Properties
density = 8.8 g/cm³
raw total energy = -0.203 hartree per atom
space-group type = Pa-3
energy relative to the elements, uncorrected = -0.33 eV per atom